Compound: NaIn2Bi
Source: Alexandria via LeMat-Bulk
Functional: PBE
Structure: optimized geometry

Cell lengths 7.2396, 4.9869, 7.3860 Å; angles 90.00, 97.12, 90.00 degrees
Last column: nearest neighbours and their distance in Å.
Space group P2_1/m (No. 11)
Asymmetric unit:
Na: 0.1644 0.2500 0.3789 [2 per cell]  6 In 3.31-3.64, 3 Bi 3.43-3.44
In: 0.1031 0.7500 0.0178 [2 per cell]  3 In 2.89-2.90, 1 Bi 3.09
In: 0.4515 0.7500 0.2565 [2 per cell]  1 In 2.89, 2 Bi 3.02
Bi: 0.3148 0.7500 0.6796 [2 per cell]  3 In 3.02-3.09

Computed properties:
Formation energy, eV per atom: -0.09
ρ, g/cm3: 5.79

Compound: NaIn5Bi6
Source: Alexandria via LeMat-Bulk
Functional: PBE
Structure: optimized geometry

Cell lengths 9.1159, 17.4675, 5.9014 Å; angles 90.00, 130.26, 90.00 degrees
Last column: nearest neighbours and their distance in Å.
Space group C2/m (No. 12)
Asymmetric unit:
Na: 0.0000 0.0000 0.0000 [2 per cell]  8 Bi 3.46-3.48, 2 In 3.48
In: 0.0000 0.1607 0.5000 [4 per cell]  8 Bi 3.35-3.45, 2 In 3.48
In: 0.0000 0.3324 0.0000 [4 per cell]  8 Bi 3.34-3.41, 2 In 3.48
In: 0.0000 0.5000 0.5000 [2 per cell]  8 Bi 3.37-3.43, 2 Na 3.48
Bi: 0.2371 0.5000 0.2350 [4 per cell]  2 Bi 3.30-3.66, 6 In 3.35-3.39, 2 Na 3.46-3.48
Bi: 0.2443 0.3297 0.7450 [8 per cell]  7 In 3.34-3.45, 2 Bi 3.40-3.56, 1 Na 3.47

Computed properties:
Formation energy, eV per atom: 0.02
ρ, g/cm3: 8.57

Compound: Na2In3Bi5
Source: Alexandria via LeMat-Bulk
Functional: PBE
Structure: optimized geometry

Cell lengths 11.5241, 13.4147, 9.3920 Å; angles 90.00, 90.00, 90.00 degrees
Last column: nearest neighbours and their distance in Å.
Space group Ibam (No. 72)
Asymmetric unit:
Na: 0.2388 0.1265 0.0000 [8 per cell]  6 Bi 3.62-4.01, 3 In 3.71-4.01
In: 0.0000 0.5000 0.2500 [4 per cell]  6 Bi 3.22-3.28
In: 0.1093 0.1265 0.5000 [8 per cell]  5 Bi 3.01-3.18
Bi: 0.0000 0.0000 0.2500 [4 per cell]  4 In 3.16, 2 Bi 3.43
Bi: 0.0000 0.2554 0.2500 [8 per cell]  3 In 3.18-3.28, 3 Bi 3.24-3.43
Bi: 0.1299 0.3793 0.0000 [8 per cell]  3 In 3.01-3.22, 2 Bi 3.24

Computed properties:
Formation energy, eV per atom: -0.02
ρ, g/cm3: 6.57